Computed, not measured: a relaxed structure of Tm3Pb2O at the GGA-PBE level of DFT.

The structure in extended XYZ format:
```
24
Lattice="6.514 0.000 0.254 3.257 6.022 0.127 -0.579 0.000 15.358" Properties=species:S:1:pos:R:3 pbc="T T T"
Tm 6.369 5.024 4.094
Tm 2.822 0.998 11.646
Tm 4.800 1.845 2.387
Tm 1.424 1.845 5.547
Tm 4.391 4.177 13.353
Tm 7.767 4.177 10.193
Tm 4.578 1.361 8.509
Tm 1.067 1.361 14.782
Tm 4.614 4.661 7.230
Tm 8.125 4.661 0.958
Tm 3.112 5.032 3.967
Tm 6.079 0.990 11.773
Pb 4.689 2.069 5.419
Pb 1.535 2.069 2.514
Pb 4.503 3.953 10.320
Pb 7.656 3.953 13.225
Pb 4.855 4.679 1.140
Pb 7.883 4.679 7.048
Pb 4.337 1.343 14.600
Pb 1.308 1.343 8.692
O 8.047 5.711 2.840
O 4.691 5.711 5.348
O 1.144 0.311 12.900
O 4.501 0.311 10.391
```

Properties
Formation energy without anion corrections   -1.324 eV per atom
Total magnetic moment   0.0 μB per formula unit
DOS at the Fermi energy   1.14 states/eV/f.u.
Distance to the lowest polymorph of the same formula   0.0 meV/atom
Total energy   -5.622 eV/atom